Computed, not measured: ErTm3In3Te8 after structural relaxation at the PBE-GGA level of DFT.

Geometry as CIF:
```
data_ErTm3In3Te8
_symmetry_space_group_name_H-M 'R -3 m'
_symmetry_Int_Tables_number 166
_symmetry_space_group_name_Hall '-R 3 2"'
_cell_length_a 8.6927
_cell_length_b 8.6927
_cell_length_c 23.6591
_cell_angle_alpha 90.00
_cell_angle_beta 90.00
_cell_angle_gamma 120.00
loop_
_atom_site_label
_atom_site_type_symbol
_atom_site_fract_x
_atom_site_fract_y
_atom_site_fract_z
_atom_site_occupancy
Er1 Er 0.0000 0.0000 0.0000 1
Tm1 Tm 0.0000 0.5000 0.0000 1
In1 In 0.0000 0.5000 0.5000 1
Te1 Te 0.0000 0.0000 0.2591 1
Te2 Te 0.0026 0.5013 0.2594 1
```

Computed properties:
E_form (uncorrected) = -0.9850 eV per atom
crystal system = trigonal
density = 6.6 Mg/m³